DFT (PBE-GGA) results for a relaxed LaTbCuIr crystal.

## Properties
calculated volume: 93 Å³ per cell
energy above the most stable polymorph in this dataset: 0.000 eV per atom
symmetry: Amm2, No. 38
ρ: 9.94 g/cm³
density of states at the Fermi level: 0.75 states/eV/atom
DFT formation energy: -2.1 eV per formula unit

Lattice parameters (Å, degrees): 4.503 5.608 5.608 40.78 90.00 90.00
Element x y z (fractional)
La 0.000 0.000 0.000
Tb 0.500 0.723 0.723
Cu 0.500 0.429 0.429
Ir 0.000 0.277 0.277

---

DFT (PBE-GGA) results for a relaxed LaTbCuIr crystal.

## Properties
calculated volume: 89 Å³ per cell
energy above the most stable polymorph in this dataset: 0.043 eV per atom
symmetry: F-43m, No. 216
ρ: 10.33 g/cm³
density of states at the Fermi level: 0.84 states/eV/atom
DFT formation energy: -1.9 eV per formula unit

Lattice parameters (Å, degrees): 5.012 5.012 5.012 60.00 60.00 60.00
Element x y z (fractional)
La 0.000 0.000 0.000
Tb 0.500 0.500 0.500
Cu 0.250 0.250 0.250
Ir 0.750 0.750 0.750

---

DFT (PBE-GGA) results for a relaxed LaThCuIr crystal.

## Properties
calculated volume: 93 Å³ per cell
symmetry: F-43m, No. 216
ρ: 11.18 g/cm³
density of states at the Fermi level: 1.02 states/eV/atom
DFT formation energy: -1.7 eV per formula unit

Lattice parameters (Å, degrees): 5.087 5.087 5.087 60.00 60.00 60.00
Element x y z (fractional)
La 0.000 0.000 0.000
Th 0.500 0.500 0.500
Cu 0.750 0.750 0.750
Ir 0.250 0.250 0.250

---

DFT (PBE-GGA) results for a relaxed LaTmCuIr crystal.

## Properties
calculated volume: 87 Å³ per cell
symmetry: F-43m, No. 216
ρ: 10.77 g/cm³
density of states at the Fermi level: 0.63 states/eV/atom
DFT formation energy: -2.0 eV per formula unit

Lattice parameters (Å, degrees): 4.971 4.971 4.971 60.00 60.00 60.00
Element x y z (fractional)
La 0.000 0.000 0.000
Tm 0.500 0.500 0.500
Cu 0.250 0.250 0.250
Ir 0.750 0.750 0.750

---

DFT (PBE-GGA) results for a relaxed LaYCuIr crystal.

## Properties
calculated volume: 89 Å³ per cell
symmetry: F-43m, No. 216
ρ: 9.03 g/cm³
density of states at the Fermi level: 0.84 states/eV/atom
DFT formation energy: -1.9 eV per formula unit

Lattice parameters (Å, degrees): 5.010 5.010 5.010 60.00 60.00 60.00
Element x y z (fractional)
La 0.000 0.000 0.000
Y 0.500 0.500 0.500
Cu 0.250 0.250 0.250
Ir 0.750 0.750 0.750

---

DFT (PBE-GGA) results for a relaxed LaY2CuIr crystal.

## Properties
calculated volume: 130 Å³ per cell
symmetry: P4/mmm, No. 123
ρ: 7.32 g/cm³
density of states at the Fermi level: 1.05 states/eV/atom
DFT formation energy: 0.7 eV per formula unit

Lattice parameters (Å, degrees): 5.170 5.170 4.860 90.00 90.00 90.00
Element x y z (fractional)
La 0.000 0.000 0.000
Y 0.000 0.500 0.500
Y 0.500 0.000 0.500
Cu 0.500 0.500 0.500
Ir 0.500 0.500 0.000

---

no.,VASP energy (eV per formula unit)
1,-24.59
2,-24.41
3,-26.98
4,-24.36
5,-26.24
6,-30.10